# Pm4Y5Sc, optimized geometry, DFT PBE
# DFT total energy (eV per atom): -5.611
# ΔH_f (0 K) (eV per atom): 0.154
# Distance to the lowest polymorph of the same formula (eV/atom): 0.000
data_Pm4Y5Sc
_space_group_name_H-M_alt 'C 1 2/m 1'
_space_group_IT_number 12
_cell_length_a 19.4502
_cell_length_b 3.6091
_cell_length_c 9.5235
_cell_angle_alpha 90.00
_cell_angle_beta 99.95
_cell_angle_gamma 90.00
loop_
_space_group_symop_operation_xyz
'x,y,z'
'-x,-y,-z'
'-x,y,-z'
'x,-y,z'
'x+1/2,y+1/2,z'
'-x+1/2,-y+1/2,-z'
'-x+1/2,y+1/2,-z'
'x+1/2,-y+1/2,z'
loop_
_atom_site_label
_atom_site_type_symbol
_atom_site_fract_x
_atom_site_fract_y
_atom_site_fract_z
_atom_site_occupancy
Pm1 Pm 0.0650 0.0000 0.2794 1
Pm2 Pm 0.1786 0.5000 0.5054 1
Y1 Y 0.0000 0.5000 0.0000 1
Y2 Y 0.1142 0.0000 0.7842 1
Y3 Y 0.2150 0.0000 0.1423 1
Sc1 Sc 0.0000 0.5000 0.5000 1